# AcCrPtO6, optimized geometry, DFT GGA+U
# Fermi-level density of states	6.39	states/eV per cell
# total magnetic moment	0.98	μB/f.u.
# DFT total energy	-6.9516	eV per atom
data_AcCrPtO6
_symmetry_space_group_name_H-M 'P 1'
_symmetry_Int_Tables_number 1
_cell_length_a 5.2376
_cell_length_b 5.2376
_cell_length_c 10.6723
_cell_angle_alpha 90.00
_cell_angle_beta 90.00
_cell_angle_gamma 120.00
loop_
_symmetry_equiv_pos_as_xyz
'x,y,z'
loop_
_atom_site_label
_atom_site_fract_x
_atom_site_fract_y
_atom_site_fract_z
Ac1 0.0000 0.0000 0.0000
Ac2 0.0000 0.0000 0.5000
Cr1 0.3333 0.6667 0.2500
Cr2 0.6667 0.3333 0.7500
Pt1 0.6667 0.3333 0.2500
Pt2 0.3333 0.6667 0.7500
O1 0.6183 0.6247 0.1471
O2 0.0064 0.3817 0.1471
O3 0.3817 0.0064 0.6471
O4 0.9936 0.6183 0.8529
O5 0.3753 0.3817 0.3529
O6 0.0064 0.6247 0.3529
O7 0.6247 0.0064 0.8529
O8 0.6183 0.9936 0.3529
O9 0.9936 0.3753 0.6471
O10 0.3753 0.9936 0.1471
O11 0.6247 0.6183 0.6471
O12 0.3817 0.3753 0.8529